# 1
Below is an optimized crystal structure of Tb3NdHo2As6, with properties calculated at the GGA-PBE level.

Structure (CIF):
```
data_Tb3NdHo2As6
_chemical_formula_sum 'Tb3 Nd1 Ho2 As6'
_cell_length_a 7.186
_cell_length_b 7.186
_cell_length_c 7.187
_cell_angle_alpha 99.59
_cell_angle_beta 99.59
_cell_angle_gamma 119.99
_space_group_name_H-M_alt 'P 1'
_space_group_IT_number 1
_space_group_name_Hall 'P 1'
loop_
_atom_site_label
_atom_site_fract_x
_atom_site_fract_y
_atom_site_fract_z
Tb1 0.165 0.835 0.500
Tb2 0.835 0.165 0.500
Tb3 0.500 0.500 0.500
Nd1 0.000 0.000 0.000
Ho1 0.333 0.667 0.000
Ho2 0.667 0.333 0.000
As1 0.916 0.577 0.749
As2 0.744 0.744 0.250
As3 0.084 0.423 0.251
As4 0.577 0.916 0.749
As5 0.256 0.256 0.750
As6 0.423 0.084 0.251
```

Output
Energy of formation   -1.53 eV/atom

# 2
Below is an optimized crystal structure of PrSmZn, with properties calculated at the GGA-PBE level.

Structure (CIF):
```
data_PrSmZn
_chemical_formula_sum 'Pr4 Sm4 Zn4'
_cell_length_a 5.099
_cell_length_b 7.164
_cell_length_c 10.217
_cell_angle_alpha 90.00
_cell_angle_beta 90.00
_cell_angle_gamma 90.00
_space_group_name_H-M_alt 'P 1'
_space_group_IT_number 1
_space_group_name_Hall 'P 1'
loop_
_atom_site_label
_atom_site_fract_x
_atom_site_fract_y
_atom_site_fract_z
Pr1 0.750 0.004 0.128
Pr2 0.250 0.504 0.372
Pr3 0.250 0.996 0.872
Pr4 0.750 0.496 0.628
Zn1 0.750 0.753 0.375
Zn2 0.250 0.253 0.125
Zn3 0.250 0.247 0.625
Zn4 0.750 0.747 0.875
Sm1 0.750 0.504 0.122
Sm2 0.250 0.004 0.378
Sm3 0.250 0.496 0.878
Sm4 0.750 0.996 0.622
```

Output
Energy of formation   0.03 eV/atom

# 3
Below is an optimized crystal structure of CrSb2As, with properties calculated at the GGA-PBE level.

Structure (CIF):
```
data_CrSb2As
_chemical_formula_sum 'Cr1 Sb2 As1'
_cell_length_a 3.226
_cell_length_b 3.226
_cell_length_c 8.007
_cell_angle_alpha 90.00
_cell_angle_beta 90.00
_cell_angle_gamma 90.00
_space_group_name_H-M_alt 'P 1'
_space_group_IT_number 1
_space_group_name_Hall 'P 1'
loop_
_atom_site_label
_atom_site_fract_x
_atom_site_fract_y
_atom_site_fract_z
As1 0.000 0.000 0.565
Cr1 0.500 0.500 0.695
Sb1 0.000 0.000 0.925
Sb2 0.500 0.500 0.315
```

Output
Formation energy from raw total energies   0.152 eV per atom

# 4
Below is an optimized crystal structure of MnBi2C, with properties calculated at the GGA-PBE level.

Structure (CIF):
```
data_MnBi2C
_chemical_formula_sum 'Mn2 Bi4 C2'
_cell_length_a 6.241
_cell_length_b 6.241
_cell_length_c 6.816
_cell_angle_alpha 62.75
_cell_angle_beta 62.75
_cell_angle_gamma 90.00
_space_group_name_H-M_alt 'P 1'
_space_group_IT_number 1
_space_group_name_Hall 'P 1'
loop_
_atom_site_label
_atom_site_fract_x
_atom_site_fract_y
_atom_site_fract_z
C1 0.500 0.500 0.000
C2 0.250 0.750 0.500
Mn1 0.000 0.000 0.000
Mn2 0.750 0.250 0.500
Bi1 0.571 0.125 0.250
Bi2 0.179 0.625 0.250
Bi3 0.375 0.429 0.750
Bi4 0.875 0.821 0.750
```

Output
Energy of formation   1.13 eV/atom

# 5
Below is an optimized crystal structure of Li2SmMoN4, with properties calculated at the GGA-PBE level.

Structure (CIF):
```
data_Li2SmMoN4
_chemical_formula_sum 'Li2 Sm1 Mo1 N4'
_cell_length_a 5.406
_cell_length_b 5.097
_cell_length_c 5.097
_cell_angle_alpha 82.81
_cell_angle_beta 57.97
_cell_angle_gamma 57.97
_space_group_name_H-M_alt 'P 1'
_space_group_IT_number 1
_space_group_name_Hall 'P 1'
loop_
_atom_site_label
_atom_site_fract_x
_atom_site_fract_y
_atom_site_fract_z
Li1 0.500 0.750 0.250
Li2 0.500 0.250 0.750
Sm1 0.000 0.000 0.000
Mo1 0.000 0.500 0.500
N1 0.593 0.548 0.859
N2 0.407 0.141 0.452
N3 0.000 0.452 0.141
N4 0.000 0.859 0.548
```

Output
Formation energy from raw total energies   -0.647 eV per atom

# 6
Below is an optimized crystal structure of CuIrS2, with properties calculated at the GGA-PBE level.

Structure (CIF):
```
data_CuIrS2
_chemical_formula_sum 'Cu2 Ir2 S4'
_cell_length_a 6.318
_cell_length_b 6.378
_cell_length_c 3.620
_cell_angle_alpha 74.39
_cell_angle_beta 89.73
_cell_angle_gamma 77.59
_space_group_name_H-M_alt 'P 1'
_space_group_IT_number 1
_space_group_name_Hall 'P 1'
loop_
_atom_site_label
_atom_site_fract_x
_atom_site_fract_y
_atom_site_fract_z
S1 0.579 0.180 0.403
S2 0.322 0.786 0.600
S3 0.840 0.795 0.092
S4 0.091 0.188 0.903
Ir1 0.956 0.005 0.488
Ir2 0.462 0.985 0.996
Cu1 0.430 0.540 0.225
Cu2 0.070 0.548 0.797
```

Output
Formation energy from raw total energies   -0.230 eV per atom